## TaCdO3 (PBE)

Data for crystalline TaCdO3 at its relaxed geometry.

a b c (Å): 5.8732 5.8732 13.9281
angles (deg): 90.00 90.00 120.00
Space group R-3c (No. 167, hexagonal axes)
Inequivalent atoms, fractional coordinates:
Ta  0.0000  0.0000  0.2500 x6
Cd  0.0000  0.0000  0.0000 x6
O  0.0000  0.3185  0.2500 x18

Results
**Spin magnetization**: 1.0 μB per formula unit
**E_tot**: -214.416 eV per cell



## Cu10Te4S13 (PBE)

Data for crystalline Cu10Te4S13 at its relaxed geometry.

a b c (Å): 10.181 14.729 8.985
angles (deg): 90.00 124.47 90.00
Space group Cm (No. 8)
Inequivalent atoms, fractional coordinates:
Cu  0.000  0.000  0.000 x2
Cu  0.068  0.500  0.009 x2
Cu  0.167  0.126  0.757 x4
Cu  0.169  0.391  0.774 x4
Cu  0.286  0.245  0.504 x4
Cu  0.405  0.126  0.256 x4
Te  0.033  0.236  0.019 x4
Te  0.290  0.500  0.476 x2
Te  0.301  0.000  0.532 x2
S  0.039  0.000  0.779 x2
S  0.049  0.260  0.757 x4
S  0.131  0.125  0.482 x4
S  0.159  0.373  0.521 x4
S  0.258  0.000  0.230 x2
S  0.271  0.500  0.979 x2
S  0.303  0.264  0.261 x4
S  0.423  0.113  0.011 x4

Results
**E_tot**: -213.816 eV per cell



## Sm2Se (PBE)

Data for crystalline Sm2Se at its relaxed geometry.

a b c (Å): 8.814 8.814 8.814
angles (deg): 90.00 90.00 90.00
Space group Fd-3m (No. 227, origin choice 2)
Inequivalent atoms, fractional coordinates:
Sm  0.000  0.000  0.000 x16
Se  0.125  0.125  0.625 x8

Results
**Spin magnetization**: 0.0 μB per formula unit
**E_tot**: -105.821 eV per cell